## Mo2RhF (PBE with a Hubbard U)

Data for crystalline Mo2RhF at its relaxed geometry.

Computed properties:
**Space-group type**: Fm-3m (225)
**Total moment**: 0.048 μB/atom
**Total energy**: -5.109 eV/atom
**Energy relative to the lowest polymorph listed for this composition**: 1.023 eV per formula unit

abc: 4.334 4.334 4.334
angles: 60.00 60.00 60.00
Fractional positions:
Mo 0.250 0.250 0.250
Mo 0.750 0.750 0.750
Rh 0.000 0.000 0.000
F 0.500 0.500 0.500